This record from Alexandria via LeMat-Bulk describes crystalline Ho3Zn3Cu8 at its relaxed geometry. The functional is PBE-GGA. Values from VASP.

Geometry as Quantum ESPRESSO input:
```
&SYSTEM
  ibrav = 0, nat = 14, ntyp = 3
/
ATOMIC_SPECIES
Ho 164.93 Ho.upf
Zn 65.41 Zn.upf
Cu 63.55 Cu.upf
ATOMIC_POSITIONS crystal
Ho 0.000 0.000 0.000
Ho 0.298 0.298 0.000
Ho 0.702 0.702 0.000
Zn 0.292 0.500 0.792
Zn 0.500 0.000 0.500
Zn 0.708 0.500 0.208
Cu 0.030 0.671 0.359
Cu 0.152 0.871 0.281
Cu 0.312 0.671 0.641
Cu 0.410 0.129 0.281
Cu 0.590 0.871 0.719
Cu 0.688 0.329 0.359
Cu 0.848 0.129 0.719
Cu 0.970 0.329 0.641
CELL_PARAMETERS angstrom
-2.104 4.401 6.155
2.104 -4.401 6.155
2.104 4.401 -6.155
```

Properties
Fermi-level density of states: 8.1 states/eV/cell
space-group type: Immm, No. 71
calculated density: 8.7 g cm⁻³
E_form: -0.2427 eV per atom



This record from Alexandria via LeMat-Bulk describes crystalline TaMnAs at its relaxed geometry. The functional is PBE-GGA. Values from VASP.

Geometry as Quantum ESPRESSO input:
```
&SYSTEM
  ibrav = 0, nat = 3, ntyp = 3
/
ATOMIC_SPECIES
Ta 180.95 Ta.upf
Mn 54.94 Mn.upf
As 74.92 As.upf
ATOMIC_POSITIONS crystal
Ta 0.000 0.000 0.000
Mn 0.333 0.667 0.500
As 0.667 0.333 0.500
CELL_PARAMETERS angstrom
4.111 0.000 0.000
-2.055 3.560 0.000
0.000 0.000 2.974
```

Properties
Fermi-level density of states: 2.3 states/eV/cell
space-group type: P-6m2, No. 187
calculated density: 11.9 g cm⁻³
E_form: -0.1443 eV per atom



This record from Alexandria via LeMat-Bulk describes crystalline Sn2SBrF at its relaxed geometry. The functional is PBE-GGA. Values from VASP.

Geometry as Quantum ESPRESSO input:
```
&SYSTEM
  ibrav = 0, nat = 5, ntyp = 4
/
ATOMIC_SPECIES
Sn 118.71 Sn.upf
S 32.06 S.upf
Br 79.90 Br.upf
F 19.00 F.upf
ATOMIC_POSITIONS crystal
Sn 0.000 0.500 0.000
Sn 0.500 0.000 0.000
S 0.000 0.000 0.000
Br 0.500 0.500 0.500
F 0.000 0.000 0.500
CELL_PARAMETERS angstrom
5.487 0.000 0.000
0.000 5.487 0.000
0.000 0.000 4.412
```

Properties
Fermi-level density of states: 3.1 states/eV/cell
space-group type: P4/mmm, No. 123
energy relative to the elements, uncorrected: -0.320 eV per atom
calculated density: 4.6 g cm⁻³



This record from Alexandria via LeMat-Bulk describes crystalline Tb4Cu3Au at its relaxed geometry. The functional is PBE-GGA. Values from VASP.

Geometry as Quantum ESPRESSO input:
```
&SYSTEM
  ibrav = 0, nat = 8, ntyp = 3
/
ATOMIC_SPECIES
Tb 158.93 Tb.upf
Cu 63.55 Cu.upf
Au 196.97 Au.upf
ATOMIC_POSITIONS crystal
Tb 0.000 0.000 0.000
Tb 0.000 0.500 0.271
Tb 0.500 0.000 0.488
Tb 0.500 0.500 0.775
Cu 0.000 0.500 0.554
Cu 0.500 0.000 0.205
Cu 0.500 0.500 0.063
Au 0.000 0.000 0.711
CELL_PARAMETERS angstrom
3.810 0.000 0.000
0.000 4.555 0.000
0.000 0.000 10.412
```

Properties
Fermi-level density of states: 6.3 states/eV/cell
space-group type: Pmm2, No. 25
calculated density: 9.4 g cm⁻³
E_form: -0.3996 eV per atom



| no. | calculated volume (Å³/cell) |
| --- | --- |
| 1 | 228.0 |
| 2 | 43.5 |
| 3 | 132.8 |
| 4 | 180.7 |